1.
BaNb, optimized geometry, DFT PBE-GGA; crystal system = orthorhombic; DOS at the Fermi energy = 9.12 states/eV per cell; DFT formation energy = 15.49 kcal/mol of atoms; space group = No. 44; energy above the lowest structure with this stoichiometry = 84 meV/atom
1.0
-1.848 7.214 4.103
1.848 -7.214 4.103
1.848 7.214 -4.103
Ba Nb
3 3
Direct
0.000 0.000 0.000
0.474 0.189 0.284
0.905 0.189 0.716
0.254 0.843 0.411
0.432 0.843 0.589
0.522 0.522 0.000



2.
Nd2UO, optimized geometry, DFT PBE-GGA; uncorrected formation energy = -0.770 eV/atom; crystal system = trigonal; DOS at the Fermi energy = 6.42 states/eV per cell; space group = No. 166
1.0
1.683 0.971 9.585
-1.683 0.971 9.585
0.000 -1.943 9.585
Nd U O
2 1 1
Direct
0.113 0.113 0.113
0.887 0.887 0.887
0.000 0.000 0.000
0.500 0.500 0.500



3.
BiPdS, optimized geometry, DFT PBE-GGA; uncorrected formation energy = -0.237 eV/atom; crystal system = trigonal; DOS at the Fermi energy = 1.44 states/eV per cell; space group = No. 156
1.0
3.955 0.000 0.000
-1.978 3.425 0.000
0.000 0.000 4.787
Bi Pd S
1 1 1
Direct
0.000 0.000 0.000
0.333 0.667 0.673
0.667 0.333 0.460



4.
ZnAg2HPb, optimized geometry, DFT PBE-GGA; crystal system = tetragonal; DOS at the Fermi energy = 0.65 states/eV per cell; space group = No. 123; E = -12.6 eV/cell
1.0
5.293 0.000 0.000
0.000 5.293 0.000
0.000 0.000 3.358
Zn Ag H Pb
1 2 1 1
Direct
0.000 0.000 0.000
0.000 0.500 0.000
0.500 0.000 0.000
0.000 0.000 0.500
0.500 0.500 0.500



5.
TlTeN2O, optimized geometry, DFT PBE-GGA; uncorrected formation energy = 1.828 eV/atom; crystal system = tetragonal; DOS at the Fermi energy = 2.11 states/eV per cell; space group = No. 123
1.0
4.445 0.000 0.000
0.000 4.445 0.000
0.000 0.000 4.241
Tl Te N O
1 1 2 1
Direct
0.000 0.000 0.000
0.500 0.500 0.000
0.000 0.500 0.500
0.500 0.000 0.500
0.500 0.500 0.500



6.
Li2TmCu2P2, optimized geometry, DFT PBE-GGA; crystal system = trigonal; DOS at the Fermi energy = 1.42 states/eV per cell; DFT formation energy = -17.44 kcal/mol of atoms; space group = No. 166
1.0
1.976 1.141 7.517
-1.976 1.141 7.517
0.000 -2.282 7.517
Li Tm Cu P
2 1 2 2
Direct
0.143 0.143 0.143
0.857 0.857 0.857
0.000 0.000 0.000
0.425 0.425 0.425
0.575 0.575 0.575
0.255 0.255 0.255
0.745 0.745 0.745



7.
SmEr3Tm3Se8, optimized geometry, DFT PBE-GGA; uncorrected formation energy = -1.784 eV/atom; crystal system = trigonal; DOS at the Fermi energy = 5.73 states/eV per cell; space group = No. 166
1.0
4.021 2.322 6.566
-4.021 2.322 6.566
0.000 -4.644 6.566
Sm Er Tm Se
1 3 3 8
Direct
0.000 0.000 0.000
0.000 0.000 0.500
0.000 0.500 0.000
0.500 0.000 0.000
0.000 0.500 0.500
0.500 0.000 0.500
0.500 0.500 0.000
0.251 0.251 0.251
0.260 0.260 0.739
0.260 0.739 0.260
0.261 0.740 0.740
0.739 0.260 0.260
0.740 0.261 0.740
0.740 0.740 0.261
0.749 0.749 0.749



8.
Hf6TaSn2, optimized geometry, DFT PBE-GGA; crystal system = monoclinic; DOS at the Fermi energy = 8.43 states/eV per cell; DFT formation energy = 6.44 kcal/mol of atoms; space group = No. 12
1.0
7.540 -3.362 0.000
7.540 3.362 0.000
-1.450 0.000 4.472
Hf Ta Sn
6 1 2
Direct
0.079 0.603 0.343
0.232 0.768 0.000
0.397 0.921 0.657
0.603 0.079 0.343
0.768 0.232 0.000
0.921 0.397 0.657
0.000 0.000 0.500
0.331 0.331 0.833
0.669 0.669 0.167



9.
Er3C2O, optimized geometry, DFT PBE-GGA; uncorrected formation energy = -1.224 eV/atom; crystal system = orthorhombic; DOS at the Fermi energy = 2.72 states/eV per cell; space group = No. 71
1.0
-1.739 2.464 5.279
1.739 -2.464 5.279
1.739 2.464 -5.279
Er C O
3 2 1
Direct
0.000 0.000 0.000
0.334 0.334 0.000
0.666 0.666 0.000
0.164 0.664 0.500
0.836 0.336 0.500
0.500 0.000 0.500



10.
Gd2HoGe, optimized geometry, DFT PBE-GGA; crystal system = tetragonal; DOS at the Fermi energy = 5.25 states/eV per cell; DFT formation energy = -7.98 kcal/mol of atoms; space group = No. 123; energy above the lowest structure with this stoichiometry = 0 meV/atom
1.0
4.671 0.000 0.000
0.000 4.671 0.000
0.000 0.000 4.735
Gd Ho Ge
2 1 1
Direct
0.000 0.500 0.000
0.500 0.000 0.000
0.000 0.000 0.500
0.500 0.500 0.500



11.
CaTbPtRh, optimized geometry, DFT PBE-GGA; crystal system = cubic; DOS at the Fermi energy = 2.46 states/eV per cell; DFT formation energy = -19.10 kcal/mol of atoms; space group = No. 216; energy above the lowest structure with this stoichiometry = 28 meV/atom
1.0
0.000 3.458 3.458
3.458 0.000 3.458
3.458 3.458 0.000
Ca Tb Pt Rh
1 1 1 1
Direct
0.000 0.000 0.000
0.500 0.500 0.500
0.250 0.250 0.250
0.750 0.750 0.750



12.
PmZnSbIr, optimized geometry, DFT PBE-GGA; uncorrected formation energy = -0.352 eV/atom; crystal system = cubic; DOS at the Fermi energy = 2.46 states/eV per cell; space group = No. 216
1.0
0.000 3.449 3.449
3.449 0.000 3.449
3.449 3.449 0.000
Pm Zn Sb Ir
1 1 1 1
Direct
0.000 0.000 0.000
0.250 0.250 0.250
0.500 0.500 0.500
0.750 0.750 0.750



13.
Sm8TmSc4, optimized geometry, DFT PBE-GGA; crystal system = trigonal; DOS at the Fermi energy = 16.49 states/eV per cell; DFT formation energy = 5.68 kcal/mol of atoms; space group = No. 166
1.0
3.485 2.012 9.611
-3.485 2.012 9.611
0.000 -4.024 9.611
Sm Tm Sc
8 1 4
Direct
0.211 0.211 0.211
0.222 0.752 0.752
0.248 0.248 0.778
0.248 0.778 0.248
0.752 0.222 0.752
0.752 0.752 0.222
0.778 0.248 0.248
0.789 0.789 0.789
0.500 0.500 0.500
0.000 0.000 0.000
0.000 0.500 0.500
0.500 0.000 0.500
0.500 0.500 0.000



14.
As2OsSe, optimized geometry, DFT PBE-GGA; uncorrected formation energy = 0.337 eV/atom; crystal system = orthorhombic; DOS at the Fermi energy = 2.17 states/eV per cell; space group = No. 44; energy above the lowest structure with this stoichiometry = 239 meV/atom
1.0
-1.512 2.214 5.825
1.512 -2.214 5.825
1.512 2.214 -5.825
As Os Se
2 1 1
Direct
0.000 0.000 0.000
0.645 0.145 0.500
0.184 0.684 0.500
0.356 0.356 0.000



15.
SrLiSn3, optimized geometry, DFT PBE-GGA; crystal system = monoclinic; DOS at the Fermi energy = 3.82 states/eV per cell; DFT formation energy = -7.60 kcal/mol of atoms; space group = No. 12; energy above the lowest structure with this stoichiometry = 56 meV/atom
1.0
7.617 -2.751 0.000
7.617 2.751 0.000
-2.036 0.000 6.674
Sr Li Sn
2 2 6
Direct
0.127 0.127 0.452
0.873 0.873 0.548
0.481 0.481 0.207
0.519 0.519 0.793
0.089 0.089 0.929
0.294 0.294 0.223
0.330 0.330 0.828
0.670 0.670 0.172
0.706 0.706 0.777
0.911 0.911 0.071



16.
Tm12AlCo6, optimized geometry, DFT PBE-GGA; crystal system = cubic; DOS at the Fermi energy = 14.29 states/eV per cell; DFT formation energy = -6.01 kcal/mol of atoms; space group = No. 204
1.0
-4.737 4.737 4.737
4.737 -4.737 4.737
4.737 4.737 -4.737
Tm Al Co
12 1 6
Direct
0.107 0.300 0.807
0.193 0.493 0.300
0.193 0.893 0.700
0.300 0.193 0.493
0.300 0.807 0.107
0.493 0.300 0.193
0.507 0.700 0.807
0.700 0.193 0.893
0.700 0.807 0.507
0.807 0.107 0.300
0.807 0.507 0.700
0.893 0.700 0.193
0.000 0.000 0.000
0.115 0.500 0.615
0.385 0.885 0.500
0.500 0.385 0.885
0.500 0.615 0.115
0.615 0.115 0.500
0.885 0.500 0.385



17.
RbVZn2Cl8, optimized geometry, DFT PBE-GGA; uncorrected formation energy = -1.203 eV/atom; crystal system = trigonal; DOS at the Fermi energy = 6.39 states/eV per cell; space group = No. 155
1.0
3.060 1.767 10.690
-3.060 1.767 10.690
0.000 -3.533 10.690
Rb V Zn Cl
1 1 2 8
Direct
0.000 0.000 0.000
0.500 0.500 0.500
0.238 0.238 0.238
0.762 0.762 0.762
0.156 0.434 0.763
0.237 0.566 0.844
0.307 0.307 0.307
0.434 0.763 0.156
0.566 0.844 0.237
0.693 0.693 0.693
0.763 0.156 0.434
0.844 0.237 0.566



18.
Tm2MgZn3, optimized geometry, DFT PBE-GGA; crystal system = orthorhombic; DOS at the Fermi energy = 6.18 states/eV per cell; DFT formation energy = -3.35 kcal/mol of atoms; space group = No. 63; energy above the lowest structure with this stoichiometry = 177 meV/atom
1.0
6.047 -4.546 0.000
6.047 4.546 0.000
0.000 0.000 4.811
Tm Mg Zn
4 2 6
Direct
0.065 0.656 0.750
0.344 0.935 0.750
0.656 0.065 0.250
0.935 0.344 0.250
0.394 0.606 0.250
0.606 0.394 0.750
0.082 0.918 0.250
0.300 0.300 0.000
0.300 0.300 0.500
0.700 0.700 0.000
0.700 0.700 0.500
0.918 0.082 0.750



19.
Li2MgAu4, optimized geometry, DFT PBE-GGA; crystal system = tetragonal; DOS at the Fermi energy = 2.00 states/eV per cell; DFT formation energy = -9.81 kcal/mol of atoms; space group = No. 139
1.0
-3.367 3.367 2.782
3.367 -3.367 2.782
3.367 3.367 -2.782
Li Mg Au
2 1 4
Direct
0.000 0.500 0.500
0.500 0.000 0.500
0.000 0.000 0.000
0.000 0.000 0.500
0.000 0.500 0.000
0.500 0.000 0.000
0.500 0.500 0.500



20.
Cd2TeOs, optimized geometry, DFT PBE-GGA; uncorrected formation energy = 0.661 eV/atom; crystal system = orthorhombic; DOS at the Fermi energy = 3.14 states/eV per cell; space group = No. 65
1.0
2.919 -4.455 0.000
2.919 4.455 0.000
0.000 0.000 3.122
Cd Te Os
2 1 1
Direct
0.000 0.500 0.000
0.500 0.000 0.000
0.000 0.000 0.500
0.500 0.500 0.500